No. 1
First-principles (PBE-GGA) data for NaIr3Pt after structural relaxation, as listed in Alexandria via LeMat-Bulk.

Cell: 4.4235 4.4235 4.4235 Å, 90.00 90.00 90.00°
Site moments in Bohr magnetons follow the coordinates.
Atoms (fractional coordinates):
Ir (0.0000, 0.5000, 0.0000)  0.33
Ir (0.0000, 0.0000, 0.5000)  0.26
Ir (0.5000, 0.0000, 0.0000)  0.43
Pt (0.5000, 0.5000, 0.5000)  0.27
Na (0.0000, 0.0000, 0.0000)  0.00

excess energy over the best structure of this formula in the dataset	0.714	eV/atom
electronic total energy	-22.092	eV for the cell shown
energy of formation	11.9	eV per formula unit

---

No. 2
First-principles (PBE-GGA) data for CaPm2TmAu4 after structural relaxation, as listed in Alexandria via LeMat-Bulk.

Cell: 5.1389 5.1389 8.9726 Å, 73.36 73.36 60.00°
Atoms (fractional coordinates):
Tm (0.5000, 0.5000, 0.5000)
Au (0.8692, 0.8692, 0.3923)
Au (0.1308, 0.1308, 0.6077)
Au (0.3805, 0.3805, 0.8586)
Au (0.6195, 0.6195, 0.1414)
Pm (0.2516, 0.2516, 0.2451)
Pm (0.7484, 0.7484, 0.7549)
Ca (0.0000, 0.0000, 0.0000)

electronic total energy	-35.705	eV for the cell shown
energy of formation	-6.6	eV per formula unit

---

No. 3
First-principles (PBE-GGA) data for CaAsRh2 after structural relaxation, as listed in Alexandria via LeMat-Bulk.

Cell: 5.1905 5.1905 5.1905 Å, 135.86 135.86 64.19°
Atoms (fractional coordinates):
As (0.5000, 0.5000, 0.0000)
Rh (0.2500, 0.7500, 0.5000)
Rh (0.0000, 0.0000, 0.0000)
Ca (0.7500, 0.2500, 0.5000)

electronic total energy	-22.634	eV for the cell shown
energy of formation	-1.3	eV per formula unit

---

No. 4
First-principles (PBE-GGA) data for CaNiIr2 after structural relaxation, as listed in Alexandria via LeMat-Bulk.

Cell: 2.7923 3.8837 6.0837 Å, 90.00 90.00 90.00°
Atoms (fractional coordinates):
Ir (0.5000, 0.5000, 0.2444)
Ir (0.0000, 0.0000, 0.0545)
Ni (0.0000, 0.0000, 0.4588)
Ca (0.5000, 0.5000, 0.7423)

excess energy over the best structure of this formula in the dataset	0.057	eV/atom
electronic total energy	-25.214	eV for the cell shown
energy of formation	0.3	eV per formula unit

---

No. 5
First-principles (PBE-GGA) data for InFeI2 after structural relaxation, as listed in Alexandria via LeMat-Bulk.

Cell: 8.2797 8.2797 7.0333 Å, 53.94 53.94 90.00°
Site moments in Bohr magnetons follow the coordinates.
Atoms (fractional coordinates):
Fe (0.2500, 0.7500, 0.5000)  2.80
Fe (0.5000, 0.5000, 0.0000)  2.80
I (0.2115, 0.6250, 0.2500)  0.04
I (0.3750, 0.4615, 0.7500)  0.04
I (0.5385, 0.1250, 0.2500)  0.04
I (0.8750, 0.7885, 0.7500)  0.04
In (0.0000, 0.0000, 0.0000)  -0.03
In (0.7500, 0.2500, 0.5000)  -0.02

formation energy without anion corrections	0.0712	eV/atom
excess energy over the best structure of this formula in the dataset	0.000	eV/atom
electronic total energy	-28.033	eV for the cell shown

---

No. 6
First-principles (PBE-GGA) data for Rb3BaO3 after structural relaxation, as listed in Alexandria via LeMat-Bulk.

Cell: 9.9200 9.9200 9.9200 Å, 109.47 109.47 109.47°
Site moments in Bohr magnetons follow the coordinates.
Atoms (fractional coordinates):
Ba (0.5000, 0.2500, 0.5000)  0.01
Ba (0.0000, 0.0000, 0.2500)  0.01
Ba (0.7500, 0.5000, 0.0000)  0.01
Ba (0.7500, 0.2500, 0.2500)  0.01
O (0.9903, 0.7500, 0.0097)  0.27
O (0.7597, 0.7500, 0.2403)  0.27
O (0.7597, 0.0097, 0.0193)  0.27
O (0.9903, 0.2403, 0.4807)  0.27
O (0.5193, 0.2597, 0.0097)  0.27
O (0.7403, 0.4807, 0.4903)  0.27
O (0.7403, 0.2597, 0.7500)  0.27
O (0.2500, 0.2403, 0.2597)  0.27
O (0.5097, 0.4903, 0.7500)  0.27
O (0.5097, 0.0193, 0.2597)  0.27
O (0.2500, 0.0097, 0.4903)  0.27
O (0.9807, 0.4903, 0.2403)  0.27
Rb (0.9878, 0.7378, 0.4756)  0.00
Rb (0.5122, 0.0244, 0.7622)  0.00
Rb (0.5122, 0.4878, 0.2500)  0.00
Rb (0.2378, 0.7622, 0.2500)  0.00
Rb (0.2378, 0.4756, 0.4878)  0.00
Rb (0.9756, 0.4878, 0.7378)  0.00
Rb (0.5244, 0.7622, 0.0122)  0.00
Rb (0.7500, 0.0122, 0.4878)  0.00
Rb (0.9878, 0.2500, 0.0122)  0.00
Rb (0.7500, 0.7378, 0.7622)  0.00
Rb (0.2622, 0.2500, 0.7378)  0.00
Rb (0.2622, 0.0122, 0.0244)  0.00

formation energy without anion corrections	-1.3176	eV/atom
electronic total energy	-115.692	eV for the cell shown

---

No. 7
First-principles (PBE-GGA) data for Nd2Zn4Si3Ag after structural relaxation, as listed in Alexandria via LeMat-Bulk.

Cell: 4.1669 4.1669 10.7171 Å, 90.00 90.00 90.00°
Atoms (fractional coordinates):
Nd (0.5000, 0.0000, 0.2446)
Nd (0.0000, 0.5000, 0.7554)
Zn (0.0000, 0.5000, 0.3613)
Zn (0.5000, 0.0000, 0.6387)
Zn (0.5000, 0.5000, 0.0000)
Zn (0.0000, 0.0000, 0.0000)
Si (0.0000, 0.0000, 0.5000)
Si (0.5000, 0.0000, 0.8626)
Si (0.0000, 0.5000, 0.1374)
Ag (0.5000, 0.5000, 0.5000)

formation energy without anion corrections	-0.3817	eV/atom
electronic total energy	-37.569	eV for the cell shown

---

No. 8
First-principles (PBE-GGA) data for NdMn2CrN4 after structural relaxation, as listed in Alexandria via LeMat-Bulk.

Cell: 3.2350 5.8568 9.9784 Å, 90.00 90.00 106.03°
Site moments in Bohr magnetons follow the coordinates.
Atoms (fractional coordinates):
Nd (0.9209, 0.8419, 0.2500)  -0.04
Nd (0.0791, 0.1581, 0.7500)  -0.04
N (0.4066, 0.8132, 0.7500)  0.03
N (0.7165, 0.4329, 0.6133)  0.03
N (0.0000, 0.0000, 0.5000)  -0.02
N (0.7165, 0.4329, 0.8867)  0.03
N (0.2835, 0.5671, 0.3867)  0.03
N (0.5934, 0.1868, 0.2500)  0.03
N (0.0000, 0.0000, 0.0000)  -0.02
N (0.2835, 0.5671, 0.1133)  0.03
Cr (0.1864, 0.3729, 0.2500)  -0.73
Cr (0.8136, 0.6271, 0.7500)  -0.73
Mn (0.3822, 0.7645, 0.9589)  3.09
Mn (0.6178, 0.2355, 0.0411)  3.09
Mn (0.3822, 0.7645, 0.5411)  3.09
Mn (0.6178, 0.2355, 0.4589)  3.09

formation energy without anion corrections	-0.4641	eV/atom
electronic total energy	-139.489	eV for the cell shown

---

No. 9
First-principles (PBE-GGA) data for SrYRh2 after structural relaxation, as listed in Alexandria via LeMat-Bulk.

Cell: 3.3800 4.6504 5.8672 Å, 90.00 90.00 90.00°
Atoms (fractional coordinates):
Sr (0.0000, 0.0000, 0.4242)
Y (0.5000, 0.5000, 0.8406)
Rh (0.5000, 0.5000, 0.3024)
Rh (0.0000, 0.0000, 0.9328)

electronic total energy	-23.425	eV for the cell shown
energy of formation	-0.6	eV per formula unit

---

No. 10
First-principles (PBE-GGA) data for Ce2PmNi after structural relaxation, as listed in Alexandria via LeMat-Bulk.

Cell: 3.7051 3.7051 9.4877 Å, 78.74 78.74 60.00°
Site moments in Bohr magnetons follow the coordinates.
Atoms (fractional coordinates):
Pm (0.4984, 0.4984, 0.5049)  0.01
Ce (0.2713, 0.2713, 0.1862)  0.68
Ce (0.0629, 0.0629, 0.8114)  -0.42
Ni (0.6675, 0.6675, 0.9975)  0.00

excess energy over the best structure of this formula in the dataset	0.055	eV/atom
electronic total energy	-22.456	eV for the cell shown
energy of formation	-0.1	eV per formula unit

---

No. 11
First-principles (PBE-GGA) data for LiY2Ru after structural relaxation, as listed in Alexandria via LeMat-Bulk.

Cell: 8.8529 8.8529 8.8529 Å, 25.40 25.40 25.40°
Atoms (fractional coordinates):
Y (0.4772, 0.4772, 0.4772)
Y (0.0228, 0.0228, 0.0228)
Ru (0.7500, 0.7500, 0.7500)
Li (0.2500, 0.2500, 0.2500)

excess energy over the best structure of this formula in the dataset	0.256	eV/atom
electronic total energy	-24.158	eV for the cell shown
energy of formation	0.0	eV per formula unit

---

Number 1: density 15247 kg/m3. Number 2: density 11034 kg/m3. Number 3: density 7964 kg/m3. Number 4: density 12162 kg/m3. Number 5: density 5276 kg/m3. Number 6: density 3904 kg/m3. Number 7: density 6624 kg/m3. Number 8: density 6619 kg/m3. Number 9: density 6884 kg/m3. Number 10: density 7313 kg/m3. Number 11: density 4225 kg/m3.